# 1
VASP calculation (PBE) on a geometry-optimized La8Pm6Nd structure.

a b c (Å): 9.6373 9.6373 8.7170
angles (deg): 56.44 56.44 60.00
Atoms (fractional coordinates):
Pm1 0.5647 0.1049 0.0644
Pm2 0.2660 0.5647 0.0644
Pm3 0.7340 0.4353 0.9356
Pm4 0.4353 0.8951 0.9356
Pm5 0.8951 0.7340 0.9356
Nd1 0.0000 0.0000 0.0000
La1 0.5749 0.5749 0.2753
La2 0.2302 0.9173 0.5091
La3 0.3434 0.2302 0.5091
La4 0.0827 0.6566 0.4909
La5 0.6566 0.7698 0.4909
La6 0.4251 0.4251 0.7247
La7 0.9173 0.3434 0.5091
Pm6 0.1049 0.2660 0.0644
La8 0.7698 0.0827 0.4909

Energy relative to the lowest polymorph listed for this composition   108 meV/atom
Symmetry   R-3 (148)



# 2
VASP calculation (PBE) on a geometry-optimized La3PmNd12 structure.

a b c (Å): 5.2229 5.2229 20.8598
angles (deg): 90.00 90.00 90.00
Atoms (fractional coordinates):
Nd1 0.0000 0.5000 0.3746
Nd2 0.5000 0.0000 0.6254
La1 0.0000 0.0000 0.2495
Nd3 0.5000 0.0000 0.8763
Nd4 0.0000 0.5000 0.8763
Nd5 0.5000 0.5000 0.5000
Nd6 0.5000 0.5000 0.0000
Nd7 0.5000 0.0000 0.1237
Nd8 0.5000 0.5000 0.2487
Pm1 0.0000 0.0000 0.0000
La2 0.0000 0.0000 0.5000
Nd9 0.5000 0.5000 0.7513
Nd10 0.0000 0.5000 0.6254
Nd11 0.5000 0.0000 0.3746
Nd12 0.0000 0.5000 0.1237
La3 0.0000 0.0000 0.7505

Symmetry   P4/mmm (123)



# 3
VASP calculation (PBE) on a geometry-optimized La7Pm2Nd3 structure.

a b c (Å): 3.6628 6.0688 20.1774
angles (deg): 104.14 90.00 90.00
Atoms (fractional coordinates):
Nd1 0.5000 0.5000 0.0000
Nd2 0.0000 0.1456 0.3650
La1 0.5000 0.2779 0.5344
La2 0.5000 0.0007 0.1806
La3 0.5000 0.9993 0.8194
Nd3 0.0000 0.8544 0.6350
La4 0.0000 0.0000 0.0000
La5 0.0000 0.4691 0.1458
Pm1 0.5000 0.4114 0.7028
Pm2 0.5000 0.5886 0.2972
La6 0.5000 0.7221 0.4656
La7 0.0000 0.5309 0.8542

Energy relative to the lowest polymorph listed for this composition   18 meV/atom
Symmetry   P2/m (10)



# 4
VASP calculation (PBE) on a geometry-optimized La3Pm6Nd structure.

a b c (Å): 10.1349 10.1349 7.0731
angles (deg): 44.24 44.24 60.00
Atoms (fractional coordinates):
Pm1 0.9232 0.6028 0.1971
Pm2 0.6028 0.2768 0.1971
Pm3 0.0976 0.4221 0.7046
La1 0.3503 0.3503 0.9491
Pm4 0.4221 0.7757 0.7046
Nd1 0.8500 0.8500 0.4499
La2 0.1024 0.1024 0.6929
Pm5 0.2768 0.9232 0.1971
La3 0.5991 0.5991 0.2028
Pm6 0.7757 0.0976 0.7046

Energy relative to the lowest polymorph listed for this composition   105 meV/atom
Symmetry   R3 (146)



# 5
VASP calculation (PBE) on a geometry-optimized La4Pm10Nd structure.

a b c (Å): 10.7613 8.8711 8.8711
angles (deg): 68.41 52.66 52.66
Atoms (fractional coordinates):
Pm1 0.4540 0.0887 0.3223
Pm2 0.2500 0.5000 0.5000
La1 0.6713 0.2718 0.3857
Pm3 0.5426 0.3223 0.9113
Pm4 0.7500 0.5000 0.5000
Pm5 0.4574 0.6777 0.0887
Pm6 0.5460 0.9113 0.6777
La2 0.3287 0.7282 0.6143
Pm7 0.1351 0.0887 0.3223
La3 0.0570 0.6143 0.2718
Pm8 0.2238 0.3223 0.9113
La4 0.9430 0.3857 0.7282
Nd1 0.0000 0.0000 0.0000
Pm9 0.7762 0.6777 0.0887
Pm10 0.8649 0.9113 0.6777

Symmetry   I4/m (87)



# 6
VASP calculation (PBE) on a geometry-optimized La3Pm2Nd2 structure.

a b c (Å): 3.6972 12.2516 6.4159
angles (deg): 69.74 73.30 98.82
Atoms (fractional coordinates):
Nd1 0.8567 0.1422 0.4286
La1 0.5738 0.4287 0.2844
Pm1 0.2872 0.7149 0.1411
Nd2 0.1433 0.8578 0.5714
Pm2 0.7128 0.2851 0.8589
La2 0.0000 0.0000 0.0000
La3 0.4262 0.5713 0.7156

Energy relative to the lowest polymorph listed for this composition   0 meV/atom
Symmetry   P-1 (2)



# 7
VASP calculation (PBE) on a geometry-optimized LaPm3Nd6 structure.

a b c (Å): 6.4637 11.2247 11.2247
angles (deg): 120.33 90.00 90.00
Atoms (fractional coordinates):
Nd1 0.5535 0.6277 0.7083
La1 0.5988 0.8118 0.1882
Pm1 0.0918 0.3826 0.6174
Nd2 0.0535 0.3723 0.2917
La2 0.0988 0.1882 0.8118
Pm2 0.9620 0.0590 0.2928
Nd3 0.5535 0.2917 0.3723
Nd4 0.0535 0.7083 0.6277
Nd5 0.8646 0.0357 0.9643
Nd6 0.3778 0.0534 0.4697
Nd7 0.8778 0.4697 0.0534
Pm3 0.9620 0.7072 0.9410
Nd8 0.3646 0.9643 0.0357
Pm4 0.5918 0.6174 0.3826
Nd9 0.1434 0.7178 0.2822
Pm5 0.4620 0.2928 0.0590
Nd10 0.3778 0.5303 0.9466
Nd11 0.8778 0.9466 0.5303
Pm6 0.4620 0.9410 0.7072
Nd12 0.6434 0.2822 0.7178

Energy relative to the lowest polymorph listed for this composition   0 meV/atom
Symmetry   Cmc2_1 (36)



# 8
VASP calculation (PBE) on a geometry-optimized LaPm2Nd8 structure.

a b c (Å): 5.7550 10.4564 10.4564
angles (deg): 40.08 93.33 93.33
Atoms (fractional coordinates):
Nd1 0.2314 0.1873 0.1873
Nd2 0.2391 0.5445 0.5445
Pm1 0.2564 0.7158 0.7158
La1 0.0000 0.0000 0.0000
Nd3 0.7609 0.4555 0.4555
Pm2 0.7436 0.2842 0.2842
Nd4 0.7686 0.8127 0.8127
Nd5 0.7319 0.3987 0.8642
Nd6 0.2681 0.1358 0.6013
Nd7 0.7319 0.8642 0.3987
Nd8 0.2681 0.6013 0.1358

Energy relative to the lowest polymorph listed for this composition   124 meV/atom
Symmetry   C2/m (12)



# 9
VASP calculation (PBE) on a geometry-optimized La2Pm3Nd2 structure.

a b c (Å): 9.7431 6.3756 13.3130
angles (deg): 76.07 90.01 139.69
Atoms (fractional coordinates):
Nd1 0.9991 0.8549 0.7864
Pm1 0.9996 0.7126 0.0708
La1 0.4996 0.5709 0.8578
Pm2 0.4999 0.9998 0.0000
Pm3 0.4995 0.1436 0.7144
Nd2 0.0009 0.1456 0.2137
La2 0.0008 0.5722 0.3572
Pm4 0.5004 0.8560 0.2856
Nd3 0.5006 0.2872 0.4289
Nd4 0.4996 0.7127 0.5710
Pm5 0.0001 0.0002 0.5000
La3 0.5004 0.4287 0.1422
La4 0.9993 0.4283 0.6430
Pm6 0.0002 0.2875 0.9292

Energy relative to the lowest polymorph listed for this composition   0 meV/atom
Symmetry   P-1 (2)



# 10
VASP calculation (PBE) on a geometry-optimized La8Pm3Nd2 structure.

a b c (Å): 6.3122 9.0819 9.0819
angles (deg): 81.78 72.04 72.04
Atoms (fractional coordinates):
La1 0.6615 0.0962 0.5662
Pm1 0.0000 0.2477 0.7523
Pm2 0.5000 0.0000 0.0000
La2 0.7809 0.4572 0.4572
Nd1 0.2962 0.2849 0.2849
La3 0.6615 0.5662 0.0962
La4 0.3385 0.9038 0.4338
La5 0.9211 0.1382 0.1382
Pm3 0.0000 0.7523 0.2477
La6 0.0789 0.8618 0.8618
Nd2 0.7038 0.7151 0.7151
La7 0.3385 0.4338 0.9038
La8 0.2191 0.5428 0.5428

Energy relative to the lowest polymorph listed for this composition   0 meV/atom
Symmetry   C2/m (12)



Table of ΔE_f (eV/atom), in record order: 0.129 0.012 0.076 0.235 0.289 0.018 0.129 0.137 0.017 0.136